Fe2PtRh6: relaxed, PBE.

Unit cell a=3.8382 b=4.6664 c=8.1081 alpha=106.41 beta=90.00 gamma=114.28
Site moments in Bohr magnetons follow the coordinates.
Fractional coordinates of all 9 atoms:
Rh: 0.6679 0.3359 0.0538  0.07
Rh: 0.6650 0.3300 0.3861  0.11
Fe: 0.6683 0.3366 0.7232  2.97
Rh: 0.9997 0.9994 0.8333  0.15
Fe: 0.3317 0.6634 0.2768  2.97
Rh: 0.3321 0.6641 0.9462  0.07
Rh: 0.3350 0.6700 0.6139  0.11
Pt: 0.0000 0.0000 0.5000  0.06
Rh: 0.0003 0.0006 0.1667  0.15

Calculated values
For the density of states at the Fermi level, the calculation gives 1.3698 states/eV/atom. For the calculated formation energy, the calculation gives -0.05 eV/atom. As for the uncorrected energy: -67.5 eV/f.u. Its space-group type is C2/m (12).

---

Fe4PtRh: relaxed, PBE.

Unit cell a=4.7650 b=4.7650 c=4.7650 alpha=60.00 beta=60.00 gamma=60.00
Site moments in Bohr magnetons follow the coordinates.
Fractional coordinates of all 6 atoms:
Pt: 0.7500 0.7500 0.7500  0.41
Fe: 0.3747 0.8758 0.3747  2.41
Fe: 0.3747 0.3747 0.8758  2.41
Fe: 0.8758 0.3747 0.3747  2.41
Rh: 0.0000 0.0000 0.0000  0.79
Fe: 0.3747 0.3747 0.3747  2.41

Calculated values
For the density of states at the Fermi level, the calculation gives 0.9083 states/eV/atom. For the calculated formation energy, the calculation gives -0.05 eV/atom. As for the uncorrected energy: -47.5 eV/f.u. Its space-group type is F-43m (216). The excess energy over the best structure of this formula in the dataset comes out at 33 meV/atom.

---

Copy entry 2 word for word.
Fe4PtRh: relaxed, PBE.

Unit cell a=4.7650 b=4.7650 c=4.7650 alpha=60.00 beta=60.00 gamma=60.00
Site moments in Bohr magnetons follow the coordinates.
Fractional coordinates of all 6 atoms:
Pt: 0.7500 0.7500 0.7500  0.41
Fe: 0.3747 0.8758 0.3747  2.41
Fe: 0.3747 0.3747 0.8758  2.41
Fe: 0.8758 0.3747 0.3747  2.41
Rh: 0.0000 0.0000 0.0000  0.79
Fe: 0.3747 0.3747 0.3747  2.41

Calculated values
For the density of states at the Fermi level, the calculation gives 0.9083 states/eV/atom. For the calculated formation energy, the calculation gives -0.05 eV/atom. As for the uncorrected energy: -47.5 eV/f.u. Its space-group type is F-43m (216). The excess energy over the best structure of this formula in the dataset comes out at 33 meV/atom.

---

uncorrected energy of number 1 (Fe2PtRh6)?
-67.5 eV/f.u.